A plane-wave DFT calculation with GGA-PBE was carried out for crystalline Er4TlHg7 at its relaxed geometry.

POSCAR file:
```
Er4TlHg7
1.0
6.3531 -2.7168 0.0000
6.3531 2.7168 0.0000
-5.7826 0.0000 9.3336
Er Tl Hg
4 1 7
direct
0.0845 0.0845 0.2746
0.2388 0.2388 0.8260
0.7612 0.7612 0.1740
0.9155 0.9155 0.7254
0.5000 0.5000 0.5000
0.0000 0.0000 0.5000
0.1410 0.1410 0.0377
0.2935 0.2935 0.5869
0.4363 0.4363 0.1499
0.5637 0.5637 0.8501
0.7065 0.7065 0.4131
0.8590 0.8590 0.9623
```

Computed properties:
E = -25.44 eV/f.u.
energy of formation from the pure elements = -0.226 eV/atom
Fermi-level density of states = 0.477 states/eV per atom
spin magnetization = 0.0 μB per formula unit

=====

A plane-wave DFT calculation with GGA-PBE was carried out for crystalline Er4Tl3Hg at its relaxed geometry.

POSCAR file:
```
Er4Tl3Hg
1.0
4.2842 0.0000 0.0000
0.0000 4.4963 0.0000
0.0000 0.0000 11.4632
Er Tl Hg
4 3 1
direct
0.0000 0.0000 0.0000
0.0000 0.5000 0.2691
0.5000 0.0000 0.4927
0.5000 0.5000 0.7717
0.0000 0.0000 0.7265
0.0000 0.5000 0.5416
0.5000 0.5000 0.0425
0.5000 0.0000 0.2279
```

Computed properties:
E = -28.15 eV/f.u.
polymorph energy (0 for the lowest one) = 0.35 eV per formula unit
energy of formation from the pure elements = -0.312 eV/atom
Fermi-level density of states = 0.745 states/eV per atom
spin magnetization = 0.0 μB per formula unit

=====

A plane-wave DFT calculation with GGA-PBE was carried out for crystalline ErTlHg6 at its relaxed geometry.

POSCAR file:
```
ErTlHg6
1.0
3.2235 1.8611 7.5607
-3.2235 1.8611 7.5607
0.0000 -3.7222 7.5607
Er Tl Hg
1 1 6
direct
0.0000 0.0000 0.0000
0.5000 0.5000 0.5000
0.0748 0.0748 0.5511
0.0748 0.5511 0.0748
0.4489 0.9252 0.9252
0.5511 0.0748 0.0748
0.9252 0.4489 0.9252
0.9252 0.9252 0.4489
```

Computed properties:
E = -8.28 eV/f.u.
polymorph energy (0 for the lowest one) = 1.57 eV per formula unit
energy of formation from the pure elements = 0.057 eV/atom
Fermi-level density of states = 0.456 states/eV per atom
spin magnetization = 0.0 μB per formula unit

=====

A plane-wave DFT calculation with GGA-PBE was carried out for crystalline Er4Tl2Hg5 at its relaxed geometry.

POSCAR file:
```
Er4Tl2Hg5
1.0
8.0931 0.0000 0.0000
0.0000 3.5355 0.0000
-1.4761 0.0000 9.9316
Er Tl Hg
4 2 5
direct
0.1851 0.0000 0.3999
0.2701 0.0000 0.9272
0.7299 0.0000 0.0728
0.8149 0.0000 0.6001
0.0839 0.5000 0.1405
0.9161 0.5000 0.8595
0.1632 0.5000 0.6521
0.4640 0.5000 0.1873
0.5000 0.5000 0.5000
0.5360 0.5000 0.8127
0.8368 0.5000 0.3479
```

Computed properties:
E = -27.63 eV/f.u.
energy of formation from the pure elements = -0.285 eV/atom
Fermi-level density of states = 0.585 states/eV per atom
spin magnetization = 0.0 μB per formula unit

=====

A plane-wave DFT calculation with GGA-PBE was carried out for crystalline Er2TlHg at its relaxed geometry.

POSCAR file:
```
Er2TlHg
1.0
3.7122 0.0000 0.0000
-1.8561 3.2148 0.0000
0.0000 0.0000 28.1906
Er Tl Hg
6 3 3
direct
0.0000 0.0000 0.0000
0.0000 0.0000 0.1735
0.3333 0.6667 0.6667
0.3333 0.6667 0.8401
0.6667 0.3333 0.3333
0.6667 0.3333 0.5068
0.0000 0.0000 0.4204
0.3333 0.6667 0.0870
0.6667 0.3333 0.7537
0.0000 0.0000 0.5872
0.3333 0.6667 0.2538
0.6667 0.3333 0.9205
```

Computed properties:
E = -12.86 eV/f.u.
energy of formation from the pure elements = -0.266 eV/atom
Fermi-level density of states = 0.908 states/eV per atom
spin magnetization = 0.0 μB per formula unit

=====

A plane-wave DFT calculation with GGA-PBE was carried out for crystalline Er3Tl2Hg2 at its relaxed geometry.

POSCAR file:
```
Er3Tl2Hg2
1.0
5.0621 0.0000 0.0000
2.5223 4.5715 0.0000
0.0277 2.0564 8.4047
Er Tl Hg
3 2 2
direct
0.0000 0.0000 0.0000
0.2750 0.4514 0.7042
0.7250 0.5486 0.2958
0.3638 0.2714 0.1452
0.6362 0.7286 0.8548
0.0691 0.8598 0.3631
0.9309 0.1402 0.6369
```

Computed properties:
E = -21.07 eV/f.u.
energy of formation from the pure elements = -0.292 eV/atom
Fermi-level density of states = 0.471 states/eV per atom
spin magnetization = 0.0 μB per formula unit

=====

A plane-wave DFT calculation with GGA-PBE was carried out for crystalline Er8Tl2Hg3 at its relaxed geometry.

POSCAR file:
```
Er8Tl2Hg3
1.0
4.4354 -7.8748 0.0000
4.4354 7.8748 0.0000
0.0000 0.0000 5.3988
Er Tl Hg
8 2 3
direct
0.1078 0.8922 0.0000
0.1678 0.3955 0.5000
0.3277 0.6723 0.0000
0.3955 0.1678 0.5000
0.6045 0.8322 0.5000
0.6723 0.3277 0.0000
0.8322 0.6045 0.5000
0.8922 0.1078 0.0000
0.2296 0.7704 0.5000
0.7704 0.2296 0.5000
0.0000 0.0000 0.5000
0.3170 0.3170 0.0000
0.6830 0.6830 0.0000
```

Computed properties:
E = -43.93 eV/f.u.
energy of formation from the pure elements = -0.138 eV/atom
Fermi-level density of states = 1.084 states/eV per atom
spin magnetization = 0.8 μB per formula unit

=====

A plane-wave DFT calculation with GGA-PBE was carried out for crystalline Er5Tl2Hg2 at its relaxed geometry.

POSCAR file:
```
Er5Tl2Hg2
1.0
8.1074 -4.2520 0.0000
8.1074 4.2520 0.0000
0.0000 0.0000 7.2227
Er Tl Hg
10 4 4
direct
0.0000 0.0000 0.0000
0.0461 0.6755 0.6584
0.1755 0.5461 0.1584
0.3245 0.9539 0.6584
0.4539 0.8245 0.1584
0.5000 0.5000 0.5000
0.5461 0.1755 0.8416
0.6755 0.0461 0.3416
0.8245 0.4539 0.8416
0.9539 0.3245 0.3416
0.2106 0.2106 0.0000
0.2894 0.2894 0.5000
0.7106 0.7106 0.5000
0.7894 0.7894 0.0000
0.1436 0.8564 0.3791
0.3564 0.6436 0.8791
0.6436 0.3564 0.1209
0.8564 0.1436 0.6209
```

Computed properties:
E = -31.16 eV/f.u.
energy of formation from the pure elements = -0.334 eV/atom
Fermi-level density of states = 0.623 states/eV per atom
spin magnetization = 0.0 μB per formula unit

=====

A plane-wave DFT calculation with GGA-PBE was carried out for crystalline Er3TlHg at its relaxed geometry.

POSCAR file:
```
Er3TlHg
1.0
5.6743 -3.3908 0.0000
5.6743 3.3908 0.0000
-4.2088 0.0000 15.0056
Er Tl Hg
12 4 4
direct
0.1034 0.2593 0.8151
0.1617 0.3676 0.6116
0.2093 0.7547 0.9414
0.2453 0.7907 0.5586
0.2593 0.1034 0.3151
0.3676 0.1617 0.1116
0.6324 0.8383 0.8884
0.7407 0.8966 0.6849
0.7547 0.2093 0.4414
0.7907 0.2453 0.0586
0.8383 0.6324 0.3884
0.8966 0.7407 0.1849
0.2949 0.6063 0.3494
0.3937 0.7051 0.1506
0.6063 0.2949 0.8494
0.7051 0.3937 0.6506
0.0000 0.5000 0.0000
0.2571 0.7429 0.7500
0.5000 0.0000 0.5000
0.7429 0.2571 0.2500
```

Computed properties:
E = -17.15 eV/f.u.
polymorph energy (0 for the lowest one) = 0.73 eV per formula unit
energy of formation from the pure elements = -0.160 eV/atom
Fermi-level density of states = 0.893 states/eV per atom
spin magnetization = 0.0 μB per formula unit

=====

A plane-wave DFT calculation with GGA-PBE was carried out for crystalline Er5TlHg2 at its relaxed geometry.

POSCAR file:
```
Er5TlHg2
1.0
-4.1035 4.1035 6.4916
4.1035 -4.1035 6.4916
4.1035 4.1035 -6.4916
Er Tl Hg
10 2 4
direct
0.0000 0.0000 0.0000
0.0037 0.5037 0.8068
0.1969 0.0037 0.5000
0.3031 0.8031 0.8068
0.4963 0.3031 0.5000
0.5000 0.5000 0.0000
0.5037 0.6969 0.5000
0.6969 0.1969 0.1932
0.8031 0.9963 0.5000
0.9963 0.4963 0.1932
0.2500 0.2500 0.0000
0.7500 0.7500 0.0000
0.1403 0.3597 0.5000
0.3597 0.8597 0.2194
0.6403 0.1403 0.7806
0.8597 0.6403 0.5000
```

Computed properties:
E = -28.47 eV/f.u.
energy of formation from the pure elements = -0.335 eV/atom
Fermi-level density of states = 1.104 states/eV per atom
spin magnetization = 0.0 μB per formula unit

=====

A plane-wave DFT calculation with GGA-PBE was carried out for crystalline Er3Tl2Hg3 at its relaxed geometry.

POSCAR file:
```
Er3Tl2Hg3
1.0
9.0127 0.0000 0.0000
-4.5063 7.8052 0.0000
0.0000 0.0000 6.2725
Er Tl Hg
6 4 6
direct
0.0000 0.3216 0.2500
0.0000 0.6784 0.7500
0.3216 0.0000 0.2500
0.3216 0.3216 0.7500
0.6784 0.0000 0.7500
0.6784 0.6784 0.2500
0.3333 0.6667 0.0000
0.3333 0.6667 0.5000
0.6667 0.3333 0.0000
0.6667 0.3333 0.5000
0.0000 0.3305 0.7500
0.0000 0.6695 0.2500
0.3305 0.0000 0.7500
0.3305 0.3305 0.2500
0.6695 0.0000 0.2500
0.6695 0.6695 0.7500
```

Computed properties:
E = -21.25 eV/f.u.
energy of formation from the pure elements = -0.241 eV/atom
Fermi-level density of states = 0.770 states/eV per atom
spin magnetization = 0.0 μB per formula unit

=====

A plane-wave DFT calculation with GGA-PBE was carried out for crystalline Er5Tl2Hg at its relaxed geometry.

POSCAR file:
```
Er5Tl2Hg
1.0
2.8377 -6.5507 0.0000
2.8377 6.5507 0.0000
0.0000 0.0000 12.6900
Er Tl Hg
10 4 2
direct
0.0510 0.9490 0.6106
0.0510 0.9490 0.8894
0.3889 0.6111 0.5527
0.3889 0.6111 0.9473
0.3997 0.6003 0.2500
0.6003 0.3997 0.7500
0.6111 0.3889 0.0527
0.6111 0.3889 0.4473
0.9490 0.0510 0.1106
0.9490 0.0510 0.3894
0.2025 0.7975 0.1105
0.2025 0.7975 0.3895
0.7975 0.2025 0.6105
0.7975 0.2025 0.8895
0.2459 0.7541 0.7500
0.7541 0.2459 0.2500
```

Computed properties:
E = -28.42 eV/f.u.
energy of formation from the pure elements = -0.071 eV/atom
Fermi-level density of states = 0.837 states/eV per atom
spin magnetization = 0.0 μB per formula unit

=====

Please write out number 12 again, unchanged.
A plane-wave DFT calculation with GGA-PBE was carried out for crystalline Er5Tl2Hg at its relaxed geometry.

POSCAR file:
```
Er5Tl2Hg
1.0
2.8377 -6.5507 0.0000
2.8377 6.5507 0.0000
0.0000 0.0000 12.6900
Er Tl Hg
10 4 2
direct
0.0510 0.9490 0.6106
0.0510 0.9490 0.8894
0.3889 0.6111 0.5527
0.3889 0.6111 0.9473
0.3997 0.6003 0.2500
0.6003 0.3997 0.7500
0.6111 0.3889 0.0527
0.6111 0.3889 0.4473
0.9490 0.0510 0.1106
0.9490 0.0510 0.3894
0.2025 0.7975 0.1105
0.2025 0.7975 0.3895
0.7975 0.2025 0.6105
0.7975 0.2025 0.8895
0.2459 0.7541 0.7500
0.7541 0.2459 0.2500
```

Computed properties:
E = -28.42 eV/f.u.
energy of formation from the pure elements = -0.071 eV/atom
Fermi-level density of states = 0.837 states/eV per atom
spin magnetization = 0.0 μB per formula unit